Below is Hg2SbRu at its PBEsol-relaxed geometry, with properties calculated at the meta-GGA SCAN level.

Structure (extended XYZ):
```
4
Lattice="1.6061 0.9273 9.3232 -1.6061 0.9273 9.3232 0.0000 -1.8546 9.3232" Properties=species:S:1:pos:R:3 pbc="T T T"
Hg 0.0000 0.0000 0.0000
Hg 0.0000 0.0000 6.7834
Sb 0.0000 0.0000 13.2913
Ru 0.0000 0.0000 20.8038
```

Output
Raw formation energy   0.190 eV/atom

Below is SrMnIN2 at its PBEsol-relaxed geometry, with properties calculated at the meta-GGA SCAN level.

Structure (extended XYZ):
```
5
Lattice="4.6507 0.0000 0.0000 0.0000 4.6507 0.0000 0.0000 0.0000 6.3848" Properties=species:S:1:pos:R:3 pbc="T T T"
Sr 0.0000 0.0000 0.0000
Mn 2.3253 2.3253 3.1924
I 0.0000 0.0000 3.1924
N 0.0000 2.3253 0.0000
N 2.3253 0.0000 0.0000
```

Output
Raw formation energy   1.168 eV/atom

| no. | Fermi-level density of states (states/eV/cell) |
| --- | --- |
| 1 | 1.9 |
| 2 | 3.4 |